NdDyHoAl | PBE | relaxed

a = 3.532 Å, b = 3.532 Å, c = 9.100 Å
α = 90.00°, β = 90.00°, γ = 90.00°
Atoms (fractional coordinates):
Al (0.000, 0.000, 0.570)
Dy (0.500, 0.500, 0.780)
Ho (0.500, 0.500, 0.362)
Nd (0.000, 0.000, 0.072)

## Properties
Space group: No. 99
Distance to the lowest polymorph of the same formula: 0 meV/atom
M_tot: 0.0 μB/f.u.
E: -18.47 eV for the cell shown
Formation energy: -0.19 eV per atom
V: 114 Å³/cell



MgCd2Ag | PBE | relaxed

a = 10.171 Å, b = 10.171 Å, c = 10.171 Å
α = 17.50°, β = 17.50°, γ = 17.50°
Atoms (fractional coordinates):
Cd (0.003, 0.003, 0.003)
Cd (0.497, 0.497, 0.497)
Ag (0.750, 0.750, 0.750)
Mg (0.250, 0.250, 0.250)

## Properties
Space group: No. 166
Distance to the lowest polymorph of the same formula: 85 meV/atom
M_tot: 0.0 μB/f.u.
E: -6.36 eV for the cell shown
Formation energy: -0.02 eV per atom
V: 83 Å³/cell



RbTaGeTe | PBE | relaxed

a = 3.748 Å, b = 3.734 Å, c = 17.290 Å
α = 90.00°, β = 90.28°, γ = 90.00°
Atoms (fractional coordinates):
Te (0.160, 0.500, 0.333)
Te (0.160, 0.000, 0.833)
Rb (0.663, 0.500, 0.974)
Rb (0.663, 0.000, 0.474)
Ge (0.656, 0.000, 0.170)
Ge (0.656, 0.500, 0.670)
Ta (0.157, 0.500, 0.184)
Ta (0.157, 0.000, 0.684)

## Properties
Formation energy from raw total energies: -0.02 eV/atom
Space group: No. 8
Distance to the lowest polymorph of the same formula: 119 meV/atom
M_tot: 0.0 μB/f.u.
E: -41.30 eV for the cell shown
V: 242 Å³/cell



Nd3TmSc | PBE | relaxed

a = 3.524 Å, b = 9.735 Å, c = 12.188 Å
α = 110.49°, β = 90.00°, γ = 122.88°
Atoms (fractional coordinates):
Nd (0.867, 0.077, 0.155)
Nd (0.781, 0.353, 0.051)
Nd (0.987, 0.158, 0.450)
Nd (0.219, 0.647, 0.949)
Nd (0.133, 0.923, 0.845)
Nd (0.013, 0.842, 0.550)
Sc (0.053, 0.537, 0.647)
Sc (0.947, 0.463, 0.353)
Tm (0.127, 0.252, 0.759)
Tm (0.873, 0.748, 0.241)

## Properties
Space group: No. 2
Distance to the lowest polymorph of the same formula: 0 meV/atom
M_tot: 0.0 μB/f.u.
E: -49.43 eV for the cell shown
Formation energy: 0.08 eV per atom
V: 319 Å³/cell



Pu2Ge3Rh2 | PBE | relaxed

a = 4.176 Å, b = 7.009 Å, c = 9.401 Å
α = 90.00°, β = 102.83°, γ = 90.00°
Last column: magnetic moment on the atom in μB.
Atoms (fractional coordinates):
Rh (0.305, 0.045, 0.610)  0.10
Rh (0.695, 0.955, 0.390)  0.10
Rh (0.695, 0.545, 0.390)  0.10
Rh (0.305, 0.455, 0.610)  0.10
Pu (0.947, 0.250, 0.893)  5.23
Pu (0.053, 0.750, 0.107)  5.23
Pu (0.842, 0.750, 0.684)  -4.94
Pu (0.158, 0.250, 0.316)  -4.94
Ge (0.564, 0.435, 0.128)  -0.02
Ge (0.436, 0.935, 0.872)  -0.02
Ge (0.782, 0.250, 0.564)  0.01
Ge (0.218, 0.750, 0.436)  0.01
Ge (0.564, 0.065, 0.128)  -0.02
Ge (0.436, 0.565, 0.872)  -0.02

## Properties
Space group: No. 63
M_tot: 0.6 μB/f.u.
E: -122.91 eV for the cell shown
Formation energy: -0.61 eV per atom
V: 268 Å³/cell



NaSnB | PBE | relaxed

a = 6.753 Å, b = 5.222 Å, c = 3.595 Å
α = 90.00°, β = 90.00°, γ = 90.00°
Atoms (fractional coordinates):
Na (0.250, 0.000, 0.500)
Na (0.750, 0.000, 0.500)
Sn (0.250, 0.500, 0.000)
Sn (0.750, 0.500, 0.000)
B (0.500, 0.500, 0.500)
B (0.000, 0.500, 0.500)

## Properties
Space group: No. 47
M_tot: 0.0 μB/f.u.
E: -19.83 eV for the cell shown
Formation energy: 0.69 eV per atom
V: 127 Å³/cell



CeHo15Tm4 | PBE | relaxed

a = 4.971 Å, b = 4.971 Å, c = 24.869 Å
α = 90.00°, β = 90.00°, γ = 90.00°
Atoms (fractional coordinates):
Ho (0.500, 0.500, 0.400)
Ho (0.500, 0.000, 0.300)
Ho (0.500, 0.000, 0.900)
Ho (0.500, 0.500, 0.000)
Ho (0.500, 0.500, 0.201)
Ho (0.500, 0.500, 0.600)
Ho (0.000, 0.500, 0.100)
Ho (0.500, 0.000, 0.700)
Ho (0.500, 0.000, 0.500)
Ho (0.500, 0.500, 0.799)
Ho (0.000, 0.500, 0.700)
Ho (0.000, 0.500, 0.900)
Ho (0.000, 0.500, 0.500)
Ho (0.000, 0.500, 0.300)
Ho (0.500, 0.000, 0.100)
Tm (0.000, 0.000, 0.400)
Tm (0.000, 0.000, 0.800)
Tm (0.000, 0.000, 0.600)
Tm (0.000, 0.000, 0.200)
Ce (0.000, 0.000, 0.000)

## Properties
Space group: No. 123
M_tot: 0.0 μB/f.u.
E: -91.85 eV for the cell shown
Formation energy: 0.03 eV per atom
V: 614 Å³/cell



LaFe2Sb | PBE | relaxed

a = 4.268 Å, b = 4.623 Å, c = 4.625 Å
α = 65.98°, β = 90.00°, γ = 90.00°
Last column: magnetic moment on the atom in μB.
Atoms (fractional coordinates):
Sb (0.500, 0.822, 0.822)  -0.01
La (0.000, 0.494, 0.494)  -0.10
Fe (0.000, 0.019, 0.018)  1.51
Fe (0.500, 0.165, 0.165)  2.44

## Properties
Formation energy from raw total energies: -0.09 eV/atom
Space group: No. 38
M_tot: 3.8 μB/f.u.
E: -26.32 eV for the cell shown
V: 83 Å³/cell



LuPu4Sc | PBE | relaxed

a = 6.065 Å, b = 6.065 Å, c = 6.065 Å
α = 60.00°, β = 60.00°, γ = 60.00°
Last column: magnetic moment on the atom in μB.
Atoms (fractional coordinates):
Lu (0.250, 0.250, 0.250)  0.09
Sc (0.000, 0.000, 0.000)  0.01
Pu (0.625, 0.625, 0.124)  5.31
Pu (0.124, 0.625, 0.625)  5.31
Pu (0.625, 0.124, 0.625)  5.31
Pu (0.625, 0.625, 0.625)  5.31

## Properties
Space group: No. 216
M_tot: 22.5 μB/f.u.
E: -66.59 eV for the cell shown
Formation energy: 0.26 eV per atom
V: 158 Å³/cell



TeAs2 | PBE | relaxed

a = 5.741 Å, b = 5.741 Å, c = 5.741 Å
α = 60.00°, β = 60.00°, γ = 60.00°
Atoms (fractional coordinates):
As (0.625, 0.125, 0.125)
As (0.125, 0.125, 0.125)
As (0.125, 0.625, 0.125)
As (0.125, 0.125, 0.625)
Te (0.500, 0.500, 0.500)
Te (0.750, 0.750, 0.750)

## Properties
Formation energy from raw total energies: 0.55 eV/atom
Space group: No. 227
M_tot: 0.0 μB/f.u.
E: -21.59 eV for the cell shown
V: 134 Å³/cell



BaPt2Br | PBE | relaxed

a = 3.717 Å, b = 3.717 Å, c = 8.264 Å
α = 90.00°, β = 90.00°, γ = 90.00°
Atoms (fractional coordinates):
Br (0.500, 0.500, 0.708)
Pt (0.500, 0.500, 0.182)
Pt (0.000, 0.000, 0.126)
Ba (0.000, 0.000, 0.484)

## Properties
Formation energy from raw total energies: -0.60 eV/atom
Space group: No. 99
Distance to the lowest polymorph of the same formula: 16 meV/atom
M_tot: 0.0 μB/f.u.
E: -18.06 eV for the cell shown
V: 114 Å³/cell



CsTaFeRh2 | PBE | relaxed

a = 4.877 Å, b = 4.633 Å, c = 4.877 Å
α = 90.00°, β = 90.00°, γ = 90.00°
Last column: magnetic moment on the atom in μB.
Atoms (fractional coordinates):
Rh (0.000, 0.000, 0.500)  0.00
Rh (0.500, 0.000, 0.000)  0.12
Fe (0.000, 0.500, 0.000)  2.15
Ta (0.500, 0.500, 0.500)  -1.11
Cs (0.000, 0.000, 0.000)  -0.02

## Properties
Space group: No. 123
M_tot: 0.5 μB/f.u.
E: -23.08 eV for the cell shown
Formation energy: 2.56 eV per atom
V: 110 Å³/cell



SrPW2 | PBE | relaxed

a = 3.154 Å, b = 3.154 Å, c = 7.952 Å
α = 90.00°, β = 90.00°, γ = 90.00°
Atoms (fractional coordinates):
P (0.500, 0.500, 0.000)
Sr (0.500, 0.500, 0.500)
W (0.000, 0.000, 0.160)
W (0.000, 0.000, 0.840)

## Properties
Space group: No. 123
M_tot: 0.0 μB/f.u.
E: -30.62 eV for the cell shown
Formation energy: 0.59 eV per atom
V: 79 Å³/cell



ZnCd2Br | PBE | relaxed

a = 3.536 Å, b = 3.536 Å, c = 8.176 Å
α = 90.00°, β = 90.00°, γ = 108.86°
Atoms (fractional coordinates):
Zn (0.500, 0.500, 0.250)
Br (0.500, 0.500, 0.750)
Cd (0.000, 0.000, 0.021)
Cd (0.000, 0.000, 0.479)

## Properties
Formation energy from raw total energies: -0.07 eV/atom
Space group: No. 65
Distance to the lowest polymorph of the same formula: 73 meV/atom
M_tot: 0.0 μB/f.u.
E: -5.07 eV for the cell shown
V: 97 Å³/cell



In2SnRhCl | PBE | relaxed

a = 5.203 Å, b = 5.203 Å, c = 5.029 Å
α = 90.00°, β = 90.00°, γ = 90.00°
Atoms (fractional coordinates):
Cl (0.500, 0.500, 0.500)
In (0.000, 0.500, 0.000)
In (0.500, 0.000, 0.000)
Rh (0.000, 0.000, 0.000)
Sn (0.000, 0.000, 0.500)

## Properties
Formation energy from raw total energies: -0.49 eV/atom
Space group: No. 123
M_tot: 0.0 μB/f.u.
E: -21.14 eV for the cell shown
V: 136 Å³/cell



La6ErAl2 | PBE | relaxed

a = 3.821 Å, b = 6.884 Å, c = 11.895 Å
α = 73.93°, β = 80.76°, γ = 73.89°
Atoms (fractional coordinates):
La (0.306, 0.786, 0.601)
La (0.694, 0.214, 0.399)
La (0.677, 0.523, 0.122)
La (0.323, 0.477, 0.878)
La (0.033, 0.262, 0.672)
La (0.967, 0.738, 0.328)
Al (0.353, 0.112, 0.183)
Al (0.647, 0.888, 0.817)
Er (0.000, 0.000, 0.000)

## Properties
Space group: No. 12
M_tot: 0.0 μB/f.u.
E: -42.96 eV for the cell shown
Formation energy: -0.15 eV per atom
V: 288 Å³/cell



Tb3CePm12 | PBE | relaxed

a = 5.131 Å, b = 5.131 Å, c = 20.513 Å
α = 90.00°, β = 90.00°, γ = 90.00°
Last column: magnetic moment on the atom in μB.
Atoms (fractional coordinates):
Ce (0.000, 0.000, 0.000)  0.76
Tb (0.000, 0.000, 0.750)  -0.02
Tb (0.000, 0.000, 0.250)  -0.02
Tb (0.000, 0.000, 0.500)  -0.01
Pm (0.000, 0.500, 0.124)  0.01
Pm (0.500, 0.000, 0.876)  0.01
Pm (0.500, 0.000, 0.625)  0.00
Pm (0.500, 0.500, 0.500)  0.00
Pm (0.500, 0.500, 0.749)  -0.01
Pm (0.500, 0.000, 0.124)  0.01
Pm (0.500, 0.500, 0.251)  -0.01
Pm (0.500, 0.000, 0.375)  0.00
Pm (0.000, 0.500, 0.876)  0.01
Pm (0.500, 0.500, 0.000)  0.02
Pm (0.000, 0.500, 0.375)  0.00
Pm (0.000, 0.500, 0.625)  0.00

## Properties
Space group: No. 123
M_tot: 1.0 μB/f.u.
E: -76.35 eV for the cell shown
Formation energy: 0.03 eV per atom
V: 540 Å³/cell